No. 1
# NaAcTe2, relaxed, DFT GGA-PBE
data_NaAcTe2
_space_group_name_H-M_alt 'P 1'
_space_group_IT_number 1
_cell_length_a 8.035
_cell_length_b 8.035
_cell_length_c 8.035
_cell_angle_alpha 34.63
_cell_angle_beta 34.63
_cell_angle_gamma 34.63
loop_
_space_group_symop_operation_xyz
'x,y,z'
loop_
_atom_site_label
_atom_site_fract_x
_atom_site_fract_y
_atom_site_fract_z
Na1 0.000 0.000 0.000
Ac1 0.500 0.500 0.500
Te1 0.250 0.250 0.250
Te2 0.750 0.750 0.750
# Formation energy (no corrections)   -1.40 eV/atom
# E_tot   -17.29 eV for the cell shown
# Total magnetic moment   0.000 μB/atom
# SG   No. 166

---

No. 2
# FeReAgN2, relaxed, DFT GGA-PBE
data_FeReAgN2
_space_group_name_H-M_alt 'P 1'
_space_group_IT_number 1
_cell_length_a 3.665
_cell_length_b 3.665
_cell_length_c 5.169
_cell_angle_alpha 90.00
_cell_angle_beta 90.00
_cell_angle_gamma 90.00
loop_
_space_group_symop_operation_xyz
'x,y,z'
loop_
_atom_site_label
_atom_site_fract_x
_atom_site_fract_y
_atom_site_fract_z
Fe1 0.000 0.000 0.000
Re1 0.000 0.000 0.500
Ag1 0.500 0.500 0.500
N1 0.000 0.500 0.000
N2 0.500 0.000 0.000
# Formation energy (no corrections)   1.70 eV/atom
# E_tot   -31.93 eV for the cell shown
# Total magnetic moment   0.581 μB/atom
# SG   No. 123

---

No. 3
# RbHoCo2Cl8, relaxed, DFT GGA-PBE
data_RbHoCo2Cl8
_space_group_name_H-M_alt 'P 1'
_space_group_IT_number 1
_cell_length_a 6.468
_cell_length_b 6.468
_cell_length_c 9.805
_cell_angle_alpha 94.19
_cell_angle_beta 94.19
_cell_angle_gamma 68.82
loop_
_space_group_symop_operation_xyz
'x,y,z'
loop_
_atom_site_label
_atom_site_fract_x
_atom_site_fract_y
_atom_site_fract_z
Rb1 0.000 0.000 0.000
Ho1 0.000 0.000 0.500
Co1 0.379 0.379 0.710
Co2 0.621 0.621 0.290
Cl1 0.241 0.744 0.301
Cl2 0.247 0.247 0.514
Cl3 0.256 0.759 0.699
Cl4 0.303 0.303 0.910
Cl5 0.697 0.697 0.090
Cl6 0.744 0.241 0.301
Cl7 0.753 0.753 0.486
Cl8 0.759 0.256 0.699
# Formation energy (no corrections)   -1.35 eV/atom
# E_tot   -50.71 eV for the cell shown
# Total magnetic moment   0.500 μB/atom
# SG   No. 12

---

No. 4
# YNi3Bi, relaxed, DFT GGA-PBE
data_YNi3Bi
_space_group_name_H-M_alt 'P 1'
_space_group_IT_number 1
_cell_length_a 4.754
_cell_length_b 4.754
_cell_length_c 4.754
_cell_angle_alpha 90.00
_cell_angle_beta 90.00
_cell_angle_gamma 90.00
loop_
_space_group_symop_operation_xyz
'x,y,z'
loop_
_atom_site_label
_atom_site_fract_x
_atom_site_fract_y
_atom_site_fract_z
Y1 0.000 0.000 0.000
Ni1 0.000 0.500 0.500
Ni2 0.500 0.000 0.500
Ni3 0.500 0.500 0.000
Bi1 0.500 0.500 0.500
# DFT formation energy   0.459 eV per atom
# E_tot   -25.40 eV for the cell shown
# Total magnetic moment   0.000 μB/atom
# SG   No. 221

---

No. 5
# Pm3DyTl2, relaxed, DFT GGA-PBE
data_Pm3DyTl2
_space_group_name_H-M_alt 'P 1'
_space_group_IT_number 1
_cell_length_a 5.209
_cell_length_b 10.252
_cell_length_c 6.848
_cell_angle_alpha 90.00
_cell_angle_beta 90.00
_cell_angle_gamma 90.00
loop_
_space_group_symop_operation_xyz
'x,y,z'
loop_
_atom_site_label
_atom_site_fract_x
_atom_site_fract_y
_atom_site_fract_z
Pm1 0.000 0.039 0.000
Pm2 0.000 0.320 0.366
Pm3 0.000 0.680 0.866
Pm4 0.000 0.961 0.500
Pm5 0.500 0.188 0.731
Pm6 0.500 0.812 0.231
Dy1 0.500 0.460 0.092
Dy2 0.500 0.540 0.592
Tl1 0.000 0.365 0.843
Tl2 0.000 0.635 0.343
Tl3 0.500 0.138 0.255
Tl4 0.500 0.862 0.755
# DFT formation energy   -0.271 eV per atom
# E_tot   -50.43 eV for the cell shown
# Total magnetic moment   0.000 μB/atom
# SG   No. 26

---

No. 6
# Sm2TlPb, relaxed, DFT GGA-PBE
data_Sm2TlPb
_space_group_name_H-M_alt 'P 1'
_space_group_IT_number 1
_cell_length_a 4.433
_cell_length_b 6.349
_cell_length_c 6.349
_cell_angle_alpha 43.37
_cell_angle_beta 90.00
_cell_angle_gamma 90.00
loop_
_space_group_symop_operation_xyz
'x,y,z'
loop_
_atom_site_label
_atom_site_fract_x
_atom_site_fract_y
_atom_site_fract_z
Sm1 0.000 0.000 0.000
Sm2 0.500 0.268 0.268
Tl1 0.500 0.538 0.538
Pb1 0.000 0.724 0.724
# DFT formation energy   -0.459 eV per atom
# E_tot   -17.35 eV for the cell shown
# Total magnetic moment   0.000 μB/atom
# SG   No. 38